1.
Crystalline Ce4N4Cl3 at its relaxed geometry. Source: Alexandria, functional PBE.

Properties
Crystal system: orthorhombic
Symmetry: No. 71

Cell lengths 3.648, 7.994, 7.951 Å; angles 120.18, 103.26, 90.00 degrees
Fractional positions:
Cl 0.888 0.888 0.776
Cl 0.112 0.112 0.224
Cl 0.000 0.500 0.000
Ce 0.792 0.292 0.585
Ce 0.208 0.708 0.415
Ce 0.500 0.239 0.000
Ce 0.500 0.761 0.000
N 0.655 0.482 0.310
N 0.655 0.828 0.310
N 0.345 0.518 0.690
N 0.345 0.172 0.690



2.
Crystalline Ce2NCl at its relaxed geometry. Source: Alexandria, functional PBE.

Properties
Crystal system: tetragonal
Symmetry: No. 123

Cell lengths 3.224, 3.224, 7.062 Å; angles 90.00, 90.00, 90.00 degrees
Fractional positions:
Cl 0.500 0.500 0.500
N 0.500 0.500 0.000
Ce 0.000 0.000 0.203
Ce 0.000 0.000 0.797



3.
Crystalline Ce4N2Cl at its relaxed geometry. Source: Alexandria, functional PBE.

Properties
Crystal system: trigonal
Symmetry: No. 166

Cell lengths 3.546, 3.546, 13.503 Å; angles 82.46, 82.46, 60.00 degrees
Fractional positions:
N 0.423 0.423 0.732
N 0.577 0.577 0.268
Ce 0.279 0.279 0.163
Ce 0.124 0.124 0.628
Ce 0.876 0.876 0.372
Ce 0.721 0.721 0.837
Cl 0.000 0.000 0.000



4.
Crystalline Ce3N2Cl2 at its relaxed geometry. Source: Alexandria, functional PBE.

Properties
Crystal system: monoclinic
Symmetry: No. 12

Cell lengths 3.543, 6.292, 7.304 Å; angles 99.82, 90.01, 106.34 degrees
Fractional positions:
Ce 0.000 0.000 0.000
Ce 0.774 0.549 0.211
Ce 0.226 0.451 0.789
Cl 0.881 0.762 0.621
Cl 0.119 0.238 0.379
N 0.363 0.726 0.056
N 0.637 0.274 0.944



5.
Crystalline Ce2NCl2 at its relaxed geometry. Source: Alexandria, functional PBE.

Properties
Crystal system: monoclinic
Symmetry: No. 12

Cell lengths 3.731, 3.731, 10.512 Å; angles 80.89, 79.78, 60.00 degrees
Fractional positions:
Cl 0.447 0.914 0.191
Cl 0.553 0.086 0.809
N 0.000 0.500 0.500
Ce 0.286 0.799 0.629
Ce 0.714 0.201 0.371



6.
Crystalline Ce2NCl2 at its relaxed geometry. Source: Alexandria, functional PBE.

Properties
Crystal system: monoclinic
Symmetry: No. 14

Cell lengths 6.898, 7.645, 8.856 Å; angles 90.00, 101.60, 90.00 degrees
Fractional positions:
Cl 0.540 0.301 0.071
Cl 0.407 0.852 0.314
Cl 0.960 0.801 0.929
Cl 0.593 0.148 0.686
Cl 0.093 0.352 0.686
Cl 0.040 0.199 0.071
Cl 0.907 0.648 0.314
Cl 0.460 0.699 0.929
N 0.339 0.411 0.382
N 0.661 0.589 0.618
N 0.839 0.089 0.382
N 0.161 0.911 0.618
Ce 0.272 0.032 0.845
Ce 0.682 0.368 0.429
Ce 0.228 0.532 0.155
Ce 0.318 0.632 0.571
Ce 0.728 0.968 0.155
Ce 0.818 0.868 0.571
Ce 0.182 0.132 0.429
Ce 0.772 0.468 0.845



7.
Crystalline Ce7NCl12 at its relaxed geometry. Source: Alexandria, functional PBE.

Properties
Crystal system: trigonal
Symmetry: No. 148

Cell lengths 8.829, 8.829, 8.829 Å; angles 107.51, 107.51, 107.51 degrees
Fractional positions:
Cl 0.683 0.221 0.078
Cl 0.153 0.385 0.475
Cl 0.385 0.475 0.153
Cl 0.317 0.779 0.922
Cl 0.475 0.153 0.385
Cl 0.221 0.078 0.683
Cl 0.922 0.317 0.779
Cl 0.779 0.922 0.317
Cl 0.615 0.525 0.847
Cl 0.847 0.615 0.525
Cl 0.078 0.683 0.221
Cl 0.525 0.847 0.615
N 0.000 0.000 0.000
Ce 0.968 0.690 0.889
Ce 0.690 0.889 0.968
Ce 0.111 0.032 0.310
Ce 0.889 0.968 0.690
Ce 0.500 0.500 0.500
Ce 0.032 0.310 0.111
Ce 0.310 0.111 0.032



8.
Crystalline Ce4NCl2 at its relaxed geometry. Source: Alexandria, functional PBE.

Properties
Crystal system: tetragonal
Symmetry: No. 139

Cell lengths 4.991, 4.991, 7.654 Å; angles 70.97, 70.97, 90.00 degrees
Fractional positions:
Ce 0.177 0.177 0.646
Ce 0.500 0.000 0.000
Ce 0.823 0.823 0.354
Ce 0.000 0.500 0.000
Cl 0.613 0.613 0.775
Cl 0.387 0.387 0.225
N 0.000 0.000 0.000



One value per record, in order, for raw total energy: -7.065 -6.506 -7.290 -7.090 -6.601 -6.477 -5.518 -6.012 eV per atom.